Record 1
# PBE-GGA LiPrMgSi, optimized geometry
data_LiPrMgSi
_chemical_formula_sum 'Li1 Pr1 Mg1 Si1'
_cell_length_a 4.906
_cell_length_b 4.906
_cell_length_c 4.906
_cell_angle_alpha 60.00
_cell_angle_beta 60.00
_cell_angle_gamma 60.00
_space_group_name_H-M_alt 'P 1'
_space_group_IT_number 1
loop_
_space_group_symop_operation_xyz
'x,y,z'
loop_
_atom_site_label
_atom_site_fract_x
_atom_site_fract_y
_atom_site_fract_z
Li1 0.000 0.000 0.000
Pr1 0.250 0.250 0.250
Mg1 0.750 0.750 0.750
Si1 0.500 0.500 0.500
# Total DFT energy (no corrections): -3.67 eV/atom
# Fermi-level density of states: 0.34 states/eV per atom
# Raw formation energy: -0.245 eV/atom
# Crystal system: cubic
# Spin magnetization: 0.00 Bohr magnetons per cell

=====

Record 2
# PBE-GGA LiPrMgSi2, optimized geometry
data_LiPrMgSi2
_chemical_formula_sum 'Li1 Pr1 Mg1 Si2'
_cell_length_a 6.403
_cell_length_b 6.403
_cell_length_c 6.403
_cell_angle_alpha 141.43
_cell_angle_beta 141.43
_cell_angle_gamma 55.68
_space_group_name_H-M_alt 'P 1'
_space_group_IT_number 1
loop_
_space_group_symop_operation_xyz
'x,y,z'
loop_
_atom_site_label
_atom_site_fract_x
_atom_site_fract_y
_atom_site_fract_z
Li1 0.000 0.000 0.000
Pr1 0.750 0.250 0.500
Mg1 0.500 0.500 0.000
Si1 0.146 0.646 0.500
Si2 0.354 0.854 0.500
# Total DFT energy (no corrections): -4.28 eV/atom
# Fermi-level density of states: 0.59 states/eV per atom
# Raw formation energy: -0.455 eV/atom
# Crystal system: tetragonal
# Spin magnetization: 0.00 Bohr magnetons per cell

=====

Record 3
# PBE-GGA LiPrMgSn2, optimized geometry
data_LiPrMgSn2
_chemical_formula_sum 'Li1 Pr1 Mg1 Sn2'
_cell_length_a 7.036
_cell_length_b 7.036
_cell_length_c 7.036
_cell_angle_alpha 142.80
_cell_angle_beta 142.80
_cell_angle_gamma 53.63
_space_group_name_H-M_alt 'P 1'
_space_group_IT_number 1
loop_
_space_group_symop_operation_xyz
'x,y,z'
loop_
_atom_site_label
_atom_site_fract_x
_atom_site_fract_y
_atom_site_fract_z
Li1 0.000 0.000 0.000
Pr1 0.750 0.250 0.500
Mg1 0.500 0.500 0.000
Sn1 0.137 0.637 0.500
Sn2 0.363 0.863 0.500
# Total DFT energy (no corrections): -3.74 eV/atom
# Fermi-level density of states: 0.50 states/eV per atom
# Crystal system: tetragonal
# Energy of formation from the pure elements: -2.42 eV/f.u.
# Spin magnetization: 0.00 Bohr magnetons per cell

=====

Record 4
# PBE-GGA Li2Tb2PrMg5, optimized geometry
data_Li2Tb2PrMg5
_chemical_formula_sum 'Li4 Tb4 Pr2 Mg10'
_cell_length_a 10.685
_cell_length_b 10.685
_cell_length_c 4.443
_cell_angle_alpha 90.00
_cell_angle_beta 90.00
_cell_angle_gamma 90.00
_space_group_name_H-M_alt 'P 1'
_space_group_IT_number 1
loop_
_space_group_symop_operation_xyz
'x,y,z'
loop_
_atom_site_label
_atom_site_fract_x
_atom_site_fract_y
_atom_site_fract_z
Li1 0.113 0.387 0.000
Li2 0.387 0.887 0.000
Li3 0.613 0.113 0.000
Li4 0.887 0.613 0.000
Tb1 0.180 0.680 0.000
Tb2 0.320 0.180 0.000
Tb3 0.680 0.820 0.000
Tb4 0.820 0.320 0.000
Pr1 0.000 0.000 0.000
Pr2 0.500 0.500 0.000
Mg1 0.000 0.500 0.500
Mg2 0.063 0.218 0.500
Mg3 0.218 0.937 0.500
Mg4 0.282 0.437 0.500
Mg5 0.437 0.718 0.500
Mg6 0.500 0.000 0.500
Mg7 0.563 0.282 0.500
Mg8 0.718 0.563 0.500
Mg9 0.782 0.063 0.500
Mg10 0.937 0.782 0.500
# Total DFT energy (no corrections): -2.61 eV/atom
# Fermi-level density of states: 0.97 states/eV per atom
# Crystal system: tetragonal
# Energy of formation from the pure elements: -0.21 eV/f.u.
# Spin magnetization: 0.00 Bohr magnetons per cell